Entry 1:
SrSbO4 after structural relaxation. Source: Alexandria via LeMat-Bulk, functional PBE.

Values from the calculation:
Relative energy among the computed polymorphs   53 meV per atom
Formation energy without anion corrections   -1.660 eV/atom
Total energy   -5.93 eV/atom
Total moment   2.040 μB/cell

a = 5.5976 Å, b = 5.5976 Å, c = 7.0276 Å
α = 113.47°, β = 113.47°, γ = 90.00°
With the nearest neighbours (Å) after each atom.
Fractional positions:
O1 0.5674 0.0176 0.6791  1 Sb 1.92
O2 0.1826 0.2324 0.8209  1 Sb 1.92
O3 0.4115 0.8174 0.1791  1 Sb 1.92
O4 0.1116 0.6615 0.6791  1 Sb 1.92
O5 0.7676 0.3616 0.1791  1 Sb 1.92
O6 0.6384 0.5885 0.8209  1 Sb 1.92
O7 0.3385 0.4326 0.3209  1 Sb 1.92
O8 0.9824 0.8884 0.3209  1 Sb 1.92
Sr1 0.7500 0.2500 0.5000  8 O 2.58-2.61
Sr2 0.0000 0.0000 0.0000  8 O 2.58-2.61
Sb1 0.5000 0.5000 0.0000  4 O 1.92
Sb2 0.2500 0.7500 0.5000  4 O 1.92

---

Entry 2:
Sr2SbO after structural relaxation. Source: Alexandria via LeMat-Bulk, functional PBE.

Values from the calculation:
Relative energy among the computed polymorphs   389 meV per atom
Formation energy without anion corrections   -1.358 eV/atom
Total energy   -4.47 eV/atom
Total moment   0.001 μB/cell

a = 4.9523 Å, b = 6.8856 Å, c = 6.8856 Å
α = 103.76°, β = 90.00°, γ = 90.00°
With the nearest neighbours (Å) after each atom.
Fractional positions:
Sb1 0.5000 0.1991 0.8009  7 Sr 3.26-3.31
Sb2 0.5000 0.8009 0.1991  7 Sr 3.26-3.31
Sr1 0.0000 0.0000 0.5000  2 O 2.73
Sr2 0.5000 0.5000 0.5000  4 O 3.07, 2 Sb 3.26
Sr3 0.0000 0.5000 0.0000  2 O 2.73
Sr4 0.0000 0.0000 0.0000  2 O 2.44
O1 0.0000 0.7126 0.7126  3 Sr 2.44-2.73
O2 0.0000 0.2874 0.2874  3 Sr 2.44-2.73

---

Entry 3:
Sr2SbO6 after structural relaxation. Source: Alexandria via LeMat-Bulk, functional PBE.

Values from the calculation:
Formation energy without anion corrections   -1.558 eV/atom
Total energy   -5.70 eV/atom
Total moment   1.006 μB/cell

a = 3.8565 Å, b = 6.0255 Å, c = 6.3795 Å
α = 118.18°, β = 98.87°, γ = 90.00°
With the nearest neighbours (Å) after each atom.
Fractional positions:
O1 0.8408 0.0879 0.7311  1 Sb 2.03, 1 O 2.17
O2 0.5000 0.7919 0.0000  2 O 2.17, 2 Sb 2.30
O3 0.1592 0.9121 0.2689  1 Sb 2.03, 1 O 2.17
O4 0.5000 0.2081 0.0000  2 O 2.17, 2 Sb 2.30
O5 0.1592 0.3568 0.2689  1 Sb 2.03, 1 O 2.17
O6 0.8408 0.6432 0.7311  1 Sb 2.03, 1 O 2.17
Sb1 0.0000 0.0000 0.0000  4 O 2.03
Sr1 0.3236 0.3342 0.6683  8 O 2.57-2.60
Sr2 0.6764 0.6658 0.3317  8 O 2.57-2.60

---

Entry 4:
Sr4Sb6O19 after structural relaxation. Source: Alexandria via LeMat-Bulk, functional PBE.

Values from the calculation:
Formation energy without anion corrections   -1.960 eV/atom
Total energy   -6.29 eV/atom
Total moment   0.156 μB/cell

a = 8.2228 Å, b = 8.2228 Å, c = 8.2228 Å
α = 109.47°, β = 109.47°, γ = 109.47°
With the nearest neighbours (Å) after each atom.
Fractional positions:
O1 0.7210 0.0455 0.3417  2 Sb 1.99-2.02
O2 0.0000 0.3595 0.3595  2 Sb 2.03
O3 0.3595 0.3595 0.0000  2 Sb 2.03
O4 0.6405 0.0000 0.6405  2 Sb 2.03
O5 0.3595 0.0000 0.3595  2 Sb 2.03
O6 0.0000 0.0000 0.0000  4 Sr 2.41
O7 0.3793 0.6583 0.7038  2 Sb 1.99-2.02
O8 0.0000 0.6405 0.6405  2 Sb 2.03
O9 0.2962 0.9545 0.6754  2 Sb 1.99-2.02
O10 0.6405 0.6405 0.0000  2 Sb 2.03
O11 0.3246 0.2790 0.6207  2 Sb 1.99-2.02
O12 0.6583 0.7038 0.3793  2 Sb 1.99-2.02
O13 0.3417 0.7210 0.0455  2 Sb 1.99-2.02
O14 0.6207 0.3246 0.2790  2 Sb 1.99-2.02
O15 0.7038 0.3793 0.6583  2 Sb 1.99-2.02
O16 0.9545 0.6754 0.2962  2 Sb 1.99-2.02
O17 0.2790 0.6207 0.3246  2 Sb 1.99-2.02
O18 0.6754 0.2962 0.9545  2 Sb 1.99-2.02
O19 0.0455 0.3417 0.7210  2 Sb 1.99-2.02
Sb1 0.6618 0.5000 0.1618  6 O 1.99-2.03
Sb2 0.5000 0.1618 0.6618  6 O 1.99-2.03
Sb3 0.1618 0.6618 0.5000  6 O 1.99-2.03
Sb4 0.5000 0.8382 0.3382  6 O 1.99-2.03
Sb5 0.8382 0.3382 0.5000  6 O 1.99-2.03
Sb6 0.3382 0.5000 0.8382  6 O 1.99-2.03
Sr1 0.2926 0.2926 0.2926  4 O 2.41-2.67
Sr2 0.0000 0.0000 0.7074  4 O 2.41-2.67
Sr3 0.0000 0.7074 0.0000  4 O 2.41-2.67
Sr4 0.7074 0.0000 0.0000  4 O 2.41-2.67

---

Number 1: V 181.9 Å³ per cell. Number 2: V 228.1 Å³ per cell. Number 3: V 128.7 Å³ per cell. Number 4: V 428.0 Å³ per cell.